--- 1 ---
{"formula": "AlIrBr2", "functional": "PBE-GGA", "state": "optimized geometry", "vol_a3_per_atom": 24.2, "space_group": "Cmm2, No. 35", "lattice": [[3.522, -0.020, 0.000], [-2.056, 2.860, 0.000], [0.000, 0.000, 9.636]], "species": ["Ir", "Al", "Br", "Br"], "fractional_positions": [[0.000, 0.000, 0.531], [0.500, 0.500, 0.723], [0.000, 0.000, 0.924], [0.500, 0.500, 0.322]]}


--- 2 ---
{"formula": "AlIrBr2", "functional": "PBE-GGA", "state": "optimized geometry", "vol_a3_per_atom": 19.8, "space_group": "Pmmm, No. 47", "lattice": [[3.157, 0.000, 0.000], [0.000, 5.704, 0.000], [0.000, 0.000, 4.389]], "species": ["Ir", "Al", "Br", "Br"], "fractional_positions": [[0.500, 0.000, 0.500], [0.000, 0.500, 0.500], [0.000, 0.000, 0.000], [0.500, 0.500, 0.000]]}


What should be chosen as the least stable of them? Choose 2.


--- 1 ---
{"formula": "AlIrBr2", "functional": "PBE-GGA", "state": "optimized geometry", "vol_a3_per_atom": 30.9, "space_group": "P2/m, No. 10", "lattice": [[3.781, 0.000, 0.000], [0.000, 7.062, 0.088], [0.000, 5.306, 4.692]], "species": ["Ir", "Al", "Br", "Br"], "fractional_positions": [[0.500, 0.250, 0.250], [0.500, 0.750, 0.750], [0.000, 0.118, 0.123], [0.000, 0.382, 0.377]]}


--- 2 ---
{"formula": "AlIrBr2", "functional": "PBE-GGA", "state": "optimized geometry", "vol_a3_per_atom": 19.1, "space_group": "I-4m2, No. 119", "lattice": [[-3.918, 2.194, 2.036], [-2.991, 0.116, -3.919], [2.280, -4.005, 1.753]], "species": ["Ir", "Al", "Br", "Br"], "fractional_positions": [[0.500, 0.500, 0.000], [0.750, 0.250, 0.500], [0.000, 0.000, 0.000], [0.250, 0.750, 0.500]]}


What should be chosen as the least stable of them? Choose 2.


--- 1 ---
{"formula": "AlIrBr2", "functional": "PBE-GGA", "state": "optimized geometry", "vol_a3_per_atom": 23.9, "space_group": "Cmmm, No. 65", "lattice": [[-0.742, -2.713, -2.077], [3.263, 0.474, 1.163], [-1.852, -5.048, 7.253]], "species": ["Ir", "Al", "Br", "Br"], "fractional_positions": [[0.500, 0.500, 0.250], [0.500, 0.500, 0.750], [0.000, 0.000, 0.053], [0.000, 0.000, 0.447]]}


--- 2 ---
{"formula": "AlIrBr2", "functional": "PBE-GGA", "state": "optimized geometry", "vol_a3_per_atom": 24.6, "space_group": "R-3m, No. 166", "lattice": [[8.482, -0.038, -0.023], [7.681, 3.598, -0.023], [7.681, 1.692, 3.175]], "species": ["Ir", "Al", "Br", "Br"], "fractional_positions": [[0.250, 0.250, 0.250], [0.750, 0.750, 0.750], [0.974, 0.974, 0.974], [0.526, 0.526, 0.526]]}


What should be chosen as the least stable of them? Choose 2.


--- 1 ---
{"formula": "AlIrBr", "functional": "PBE-GGA", "state": "optimized geometry", "vol_a3_per_atom": 20.0, "space_group": "Imm2, No. 44", "lattice": [[6.753, 0.745, -0.109], [4.946, 4.657, 0.109], [-5.788, -2.833, 2.153]], "species": ["Ir", "Al", "Br"], "fractional_positions": [[0.539, 0.539, 0.000], [0.135, 0.135, 0.000], [0.326, 0.326, 0.000]]}


--- 2 ---
{"formula": "AlIrBr", "functional": "PBE-GGA", "state": "optimized geometry", "vol_a3_per_atom": 17.9, "space_group": "P3m1, No. 156", "lattice": [[-4.271, 1.072, 0.304], [1.850, -0.594, -3.963], [-0.769, -3.093, 0.104]], "species": ["Ir", "Al", "Br"], "fractional_positions": [[0.333, 0.667, 0.662], [0.000, 0.000, 0.885], [0.667, 0.333, 0.452]]}


What should be chosen as the least stable of them? Choose 2.


--- 1 ---
{"formula": "AlIrBr", "functional": "PBE-GGA", "state": "optimized geometry", "vol_a3_per_atom": 19.3, "space_group": "F-43m, No. 216", "lattice": [[4.342, 0.000, 0.000], [2.171, 3.760, 0.000], [2.171, 1.253, 3.545]], "species": ["Ir", "Al", "Br"], "fractional_positions": [[0.750, 0.750, 0.750], [0.000, 0.000, 0.000], [0.500, 0.500, 0.500]]}


--- 2 ---
{"formula": "AlIrBr", "functional": "PBE-GGA", "state": "optimized geometry", "vol_a3_per_atom": 19.2, "space_group": "P3m1, No. 156", "lattice": [[-0.987, -1.313, 2.725], [0.359, -1.804, -2.597], [6.238, -1.188, 1.687]], "species": ["Ir", "Al", "Br"], "fractional_positions": [[0.667, 0.333, 0.742], [0.000, 0.000, 0.988], [0.333, 0.667, 0.269]]}


What should be chosen as the least stable of them? Choose 1.


--- 1 ---
{"formula": "AlIrBr", "functional": "PBE-GGA", "state": "optimized geometry", "vol_a3_per_atom": 19.4, "space_group": "F-43m, No. 216", "lattice": [[-4.003, -0.906, 1.450], [-0.655, -0.795, 4.230], [-2.133, 2.894, 2.454]], "species": ["Ir", "Al", "Br"], "fractional_positions": [[0.500, 0.500, 0.500], [0.750, 0.750, 0.750], [0.000, 0.000, 0.000]]}


--- 2 ---
{"formula": "AlIrBr", "functional": "PBE-GGA", "state": "optimized geometry", "vol_a3_per_atom": 19.0, "space_group": "Fmm2, No. 42", "lattice": [[6.908, 0.020, -0.015], [5.936, 2.967, 0.006], [0.972, -0.948, 2.789]], "species": ["Ir", "Al", "Br"], "fractional_positions": [[0.635, 0.635, 0.365], [0.008, 0.008, 0.992], [0.357, 0.357, 0.643]]}


What should be chosen as the least stable of them? Choose 1.


--- 1 ---
{"formula": "Al2Ir2Br", "functional": "PBE-GGA", "state": "optimized geometry", "vol_a3_per_atom": 16.1, "space_group": "P4/mbm, No. 127", "lattice": [[-3.842, 6.021, 1.876], [-4.131, -0.743, -6.076], [-1.906, -1.684, 1.502]], "species": ["Ir", "Ir", "Ir", "Ir", "Al", "Al", "Al", "Al", "Br", "Br"], "fractional_positions": [[0.352, 0.852, 0.000], [0.852, 0.648, 0.000], [0.648, 0.148, 0.000], [0.148, 0.352, 0.000], [0.144, 0.644, 0.500], [0.644, 0.856, 0.500], [0.856, 0.356, 0.500], [0.356, 0.144, 0.500], [0.000, 0.000, 0.000], [0.500, 0.500, 0.000]]}


--- 2 ---
{"formula": "Al2Ir2Br", "functional": "PBE-GGA", "state": "optimized geometry", "vol_a3_per_atom": 17.9, "space_group": "I4/mmm, No. 139", "lattice": [[3.872, 0.000, 0.000], [0.000, 3.872, 0.000], [1.936, 1.936, 5.967]], "species": ["Ir", "Ir", "Al", "Al", "Br"], "fractional_positions": [[0.381, 0.381, 0.238], [0.619, 0.619, 0.762], [0.750, 0.250, 0.500], [0.250, 0.750, 0.500], [0.000, 0.000, 0.000]]}


What should be chosen as the least stable of them? Choose 2.


--- 1 ---
{"formula": "AlIrBr3", "functional": "PBE-GGA", "state": "optimized geometry", "vol_a3_per_atom": 26.4, "space_group": "Pm-3m, No. 221", "lattice": [[-1.065, 2.854, -4.082], [-4.967, -0.918, 0.655], [-0.369, 4.117, 2.975]], "species": ["Al", "Ir", "Br", "Br", "Br"], "fractional_positions": [[0.000, 0.000, 0.000], [0.500, 0.500, 0.500], [0.000, 0.500, 0.000], [0.000, 0.000, 0.500], [0.500, 0.000, 0.000]]}


--- 2 ---
{"formula": "AlIrBr3", "functional": "PBE-GGA", "state": "optimized geometry", "vol_a3_per_atom": 26.9, "space_group": "Pm-3m, No. 221", "lattice": [[-1.373, -1.301, 4.763], [3.772, -3.466, 0.141], [3.186, 3.543, 1.886]], "species": ["Al", "Ir", "Br", "Br", "Br"], "fractional_positions": [[0.500, 0.500, 0.500], [0.000, 0.000, 0.000], [0.000, 0.500, 0.000], [0.000, 0.000, 0.500], [0.500, 0.000, 0.000]]}


What should be chosen as the least stable of them? Choose 1.


--- 1 ---
{"formula": "AlIrSeBr2", "functional": "PBE-GGA", "state": "optimized geometry", "vol_a3_per_atom": 24.1, "space_group": "P4/mmm, No. 123", "lattice": [[4.846, 0.000, 0.000], [0.000, 4.846, 0.000], [0.000, 0.000, 5.130]], "species": ["Ir", "Se", "Br", "Br", "Al"], "fractional_positions": [[0.500, 0.500, 0.500], [0.000, 0.000, 0.500], [0.000, 0.500, 0.000], [0.500, 0.000, 0.000], [0.000, 0.000, 0.000]]}


--- 2 ---
{"formula": "AlIrSeBr2", "functional": "PBE-GGA", "state": "optimized geometry", "vol_a3_per_atom": 26.9, "space_group": "P4/mmm, No. 123", "lattice": [[-5.250, -0.430, -0.975], [-0.319, -4.042, 3.501], [-0.890, 3.055, 3.446]], "species": ["Ir", "Se", "Br", "Br", "Al"], "fractional_positions": [[0.000, 0.000, 0.000], [0.000, 0.000, 0.500], [0.000, 0.500, 0.000], [0.500, 0.000, 0.000], [0.500, 0.500, 0.500]]}


What should be chosen as the least stable of them? Choose 1.


--- 1 ---
{"formula": "KAl2Br", "functional": "PBE-GGA", "state": "optimized geometry", "vol_a3_per_atom": 30.5, "space_group": "Pm, No. 6", "lattice": [[4.032, 0.000, 0.000], [0.000, 3.721, 0.009], [0.000, 5.556, 8.157]], "species": ["K", "Al", "Al", "Br"], "fractional_positions": [[0.500, 0.626, 0.708], [0.000, 0.927, 0.174], [0.500, 0.517, 0.113], [0.000, 0.430, 0.505]]}


--- 2 ---
{"formula": "KAl2Br", "functional": "PBE-GGA", "state": "optimized geometry", "vol_a3_per_atom": 29.6, "space_group": "Immm, No. 71", "lattice": [[-3.746, 4.618, 4.354], [-5.415, -1.092, 4.878], [6.714, -1.683, -2.529]], "species": ["K", "Al", "Al", "Br"], "fractional_positions": [[0.250, 0.750, 0.500], [0.995, 0.995, 0.000], [0.505, 0.505, 0.000], [0.750, 0.250, 0.500]]}


What should be chosen as the least stable of them? Choose 2.


--- 1 ---
{"formula": "KAl2Br", "functional": "PBE-GGA", "state": "optimized geometry", "vol_a3_per_atom": 27.5, "space_group": "R-3m, No. 166", "lattice": [[10.263, -0.029, -0.017], [9.658, 3.473, -0.017], [9.658, 1.670, 3.045]], "species": ["K", "Al", "Al", "Br"], "fractional_positions": [[0.750, 0.750, 0.750], [0.988, 0.988, 0.988], [0.512, 0.512, 0.512], [0.250, 0.250, 0.250]]}


--- 2 ---
{"formula": "KAl2Br", "functional": "PBE-GGA", "state": "optimized geometry", "vol_a3_per_atom": 29.1, "space_group": "Cmmm, No. 65", "lattice": [[-2.686, 0.860, -5.911], [-3.061, -2.112, 5.391], [-0.766, 3.179, 0.810]], "species": ["K", "Al", "Al", "Br"], "fractional_positions": [[0.000, 0.500, 0.500], [0.000, 0.000, 0.000], [0.500, 0.500, 0.000], [0.500, 0.000, 0.500]]}


What should be chosen as the least stable of them? Choose 1.


--- 1 ---
{"formula": "KAl2Br", "functional": "PBE-GGA", "state": "optimized geometry", "vol_a3_per_atom": 32.8, "space_group": "P4/mmm, No. 123", "lattice": [[-1.960, -3.252, 1.600], [1.140, -2.280, -3.237], [6.454, -2.057, 3.722]], "species": ["K", "Al", "Al", "Br"], "fractional_positions": [[0.500, 0.500, 0.750], [0.000, 0.000, 0.083], [0.000, 0.000, 0.417], [0.500, 0.500, 0.250]]}


--- 2 ---
{"formula": "KAl2Br", "functional": "PBE-GGA", "state": "optimized geometry", "vol_a3_per_atom": 32.9, "space_group": "Cm, No. 8", "lattice": [[4.673, 0.007, -0.025], [2.328, 4.051, -0.025], [0.352, 0.204, 6.950]], "species": ["K", "Al", "Al", "Br"], "fractional_positions": [[0.714, 0.714, 0.758], [0.030, 0.030, 0.112], [0.363, 0.363, 0.128], [0.392, 0.392, 0.502]]}


--- 3 ---
{"formula": "KAl2Br", "functional": "PBE-GGA", "state": "optimized geometry", "vol_a3_per_atom": 31.3, "space_group": "Fm-3m, No. 225", "lattice": [[-1.668, -4.662, 2.648], [-0.551, -0.010, 5.588], [-5.109, -0.237, 2.317]], "species": ["K", "Al", "Al", "Br"], "fractional_positions": [[0.000, 0.000, 0.000], [0.250, 0.250, 0.250], [0.750, 0.750, 0.750], [0.500, 0.500, 0.500]]}


What should be chosen as the least stable of them? Choose 3.